The following is a PBE-GGA calculation of BaIn3Bi2 after structural relaxation, from the Alexandria database.

Unit cell a=5.6953 b=9.0671 c=9.6740 alpha=120.39 beta=90.00 gamma=108.30
With the nearest neighbours (Å) after each atom.
Fractional coordinates of all 12 atoms:
In 0.2718 0.5436 0.5614  2 In 3.02, 2 Bi 3.13-3.15
Bi 0.1928 0.3855 0.7900  5 In 3.15-3.45
In 0.3976 0.7953 0.3620  1 In 3.09, 3 Bi 3.20-3.34
In 0.0380 0.0759 0.3727  4 Bi 3.31-3.45, 6 In 3.35-3.70
Ba 0.1457 0.2914 0.1097  7 Bi 3.59-3.93, 6 In 3.67-4.01
In 0.6024 0.2047 0.6380  1 In 3.09, 3 Bi 3.20-3.34
Bi 0.8072 0.6145 0.2100  5 In 3.15-3.45
Bi 0.4833 0.9666 0.8196  4 In 3.13-3.34, 1 Bi 3.22
In 0.7282 0.4564 0.4386  2 In 3.02, 2 Bi 3.13-3.15
Ba 0.8543 0.7086 0.8903  7 Bi 3.59-3.93, 6 In 3.67-4.01
Bi 0.5167 0.0334 0.1804  4 In 3.13-3.34, 1 Bi 3.22
In 0.9620 0.9241 0.6273  4 Bi 3.31-3.45, 6 In 3.35-3.70

offset from the most stable computed form	0.00	kcal/mol of atoms
volume	401	Å³/cell
E_form	-0.29	eV/atom
symmetry	C2/m, No. 12
calculated total energy	-39.3	eV/cell



The following is a PBE-GGA calculation of Ba3InBi3 after structural relaxation, from the Alexandria database.

Unit cell a=7.3039 b=10.3782 c=10.3782 alpha=120.00 beta=90.00 gamma=90.00
With the nearest neighbours (Å) after each atom.
Fractional coordinates of all 14 atoms:
Ba 0.7500 0.6948 0.6347  5 Bi 3.49-3.65
Bi 0.7500 0.6273 0.9325  1 In 2.92
In 0.2500 0.6667 0.3333  3 Bi 2.92
Bi 0.2500 0.6948 0.6273  1 In 2.92
Ba 0.2500 0.6347 0.9399  5 Bi 3.49-3.65
Bi 0.2500 0.3727 0.0675  1 In 2.92
In 0.7500 0.3333 0.6667  3 Bi 2.92
Bi 0.7500 0.0675 0.6948  1 In 2.92
Ba 0.7500 0.9399 0.3052  5 Bi 3.49-3.65
Ba 0.2500 0.0601 0.6948  5 Bi 3.49-3.65
Ba 0.7500 0.3653 0.0601  5 Bi 3.49-3.65
Bi 0.2500 0.9325 0.3052  1 In 2.92
Ba 0.2500 0.3052 0.3653  5 Bi 3.49-3.65
Bi 0.7500 0.3052 0.3727  1 In 2.92

offset from the most stable computed form	1.39	kcal/mol of atoms
volume	681	Å³/cell
E_form	-0.70	eV/atom
symmetry	P6_3/m, No. 176
calculated total energy	-50.2	eV/cell